The following is a PBEsol calculation of crystalline KPtPb at its relaxed geometry, from Alexandria via LeMat-Bulk.

Lattice parameters (Å, degrees): 6.665 6.665 6.665 148.80 148.80 44.71
Element x y z (fractional)
K1 0.000 0.000 0.000
Pt1 0.310 0.310 0.000
Pb1 0.716 0.716 0.000

## Properties
The space group is I4mm, No. 107. The value obtained for the total energy is -4.126 eV per atom. As for the total magnetic moment: 0.0 Bohr magnetons per cell. The value obtained for the formation energy is -0.28 eV/f.u.